# 1
Here is crystalline YGa3Pb at its relaxed geometry from Alexandria via LeMat-Bulk. Energies are from GGA-PBEsol.

Structure (CIF):
```
data_YGa3Pb
_symmetry_space_group_name_H-M 'P m -3 m'
_symmetry_Int_Tables_number 221
_symmetry_space_group_name_Hall '-P 4 2 3'
_cell_length_a 5.3331
_cell_length_b 5.3331
_cell_length_c 5.3331
_cell_angle_alpha 90.00
_cell_angle_beta 90.00
_cell_angle_gamma 90.00
loop_
_atom_site_label
_atom_site_type_symbol
_atom_site_fract_x
_atom_site_fract_y
_atom_site_fract_z
_atom_site_occupancy
Y1 Y 0.0000 0.0000 0.0000 1
Ga1 Ga 0.0000 0.0000 0.5000 1
Pb1 Pb 0.5000 0.5000 0.5000 1
```

Computed properties:
Formation energy from the elements = 2.91 eV per formula unit
Offset from the most stable computed form = 20 meV per atom
Total magnetization = 0.00 μB per formula unit

=====

# 2
Here is crystalline YGa3Pb at its relaxed geometry from Alexandria via LeMat-Bulk. Energies are from GGA-PBEsol.

Structure (CIF):
```
data_YGa3Pb
_symmetry_space_group_name_H-M 'P m -3 m'
_symmetry_Int_Tables_number 221
_symmetry_space_group_name_Hall '-P 4 2 3'
_cell_length_a 5.2276
_cell_length_b 5.2276
_cell_length_c 5.2276
_cell_angle_alpha 90.00
_cell_angle_beta 90.00
_cell_angle_gamma 90.00
loop_
_atom_site_label
_atom_site_type_symbol
_atom_site_fract_x
_atom_site_fract_y
_atom_site_fract_z
_atom_site_occupancy
Y1 Y 0.0000 0.0000 0.0000 1
Ga1 Ga 0.0000 0.5000 0.5000 1
Pb1 Pb 0.5000 0.5000 0.5000 1
```

Computed properties:
Formation energy from the elements = 2.81 eV per formula unit
Offset from the most stable computed form = 0 meV per atom
Total magnetization = 0.00 μB per formula unit

=====

# 3
Here is crystalline YGaPb3 at its relaxed geometry from Alexandria via LeMat-Bulk. Energies are from GGA-PBEsol.

Structure (CIF):
```
data_YGaPb3
_symmetry_space_group_name_H-M 'P m -3 m'
_symmetry_Int_Tables_number 221
_symmetry_space_group_name_Hall '-P 4 2 3'
_cell_length_a 5.7443
_cell_length_b 5.7443
_cell_length_c 5.7443
_cell_angle_alpha 90.00
_cell_angle_beta 90.00
_cell_angle_gamma 90.00
loop_
_atom_site_label
_atom_site_type_symbol
_atom_site_fract_x
_atom_site_fract_y
_atom_site_fract_z
_atom_site_occupancy
Y1 Y 0.0000 0.0000 0.0000 1
Ga1 Ga 0.5000 0.5000 0.5000 1
Pb1 Pb 0.0000 0.0000 0.5000 1
```

Computed properties:
Formation energy from the elements = 2.75 eV per formula unit
Total magnetization = 0.00 μB per formula unit